No. 1
Density functional theory data (PBE) for ThUSi2Ir5 after structural relaxation.

Results
Space-group type ... P4/mmm (123)
Energy ... -8.86 eV/atom
Total magnetic moment ... 0.00 μB/cell
Crystal system ... tetragonal

Structure (POSCAR):
```
ThUSi2Ir5
1.0
4.035 0.000 0.000
0.000 4.035 0.000
0.000 0.000 11.014
Th Ir Si U
1 5 2 1
Cartesian
0.000 0.000 5.507
0.000 2.018 1.906
2.018 0.000 1.906
0.000 2.018 9.108
2.018 2.018 5.507
2.018 0.000 9.108
2.018 2.018 7.867
2.018 2.018 3.147
0.000 0.000 0.000
```

=====

No. 2
Density functional theory data (PBE) for Th2USi2Ir7 after structural relaxation.

Results
Space-group type ... C2/m (12)
Energy ... -9.12 eV/atom
Total magnetic moment ... 0.00 μB/cell
Crystal system ... monoclinic

Structure (POSCAR):
```
Th2USi2Ir7
1.0
4.031 0.004 -0.108
0.009 4.031 -0.108
1.586 1.584 13.544
Si Ir Th U
2 7 2 1
Cartesian
2.108 2.105 3.268
3.519 3.514 10.061
2.020 2.018 -0.108
3.398 3.394 7.716
3.546 1.534 11.458
2.080 4.086 1.871
1.538 3.545 11.458
4.088 2.075 1.871
2.228 2.225 5.613
1.435 1.433 8.751
4.191 4.186 4.578
0.000 0.000 0.000
```

=====

No. 3
Density functional theory data (PBE) for Th2USi3Ir4 after structural relaxation.

Results
Space-group type ... P-4m2 (115)
Energy ... -8.69 eV/atom
Total magnetic moment ... 1.68 μB/cell
Crystal system ... tetragonal

Structure (POSCAR):
```
Th2USi3Ir4
1.0
-4.147 -0.031 0.475
-0.334 -2.774 -3.102
0.885 -8.140 7.186
Si Ir Th U
3 4 2 1
Cartesian
-0.061 -2.366 -0.687
-1.296 -7.178 6.560
0.442 -4.070 3.593
0.136 -4.180 0.915
0.000 0.000 0.000
-2.241 -1.403 -1.313
-1.493 -5.363 4.958
0.512 -7.635 3.965
-1.868 -1.908 1.908
-1.799 -5.473 2.280
```

=====

No. 4
Density functional theory data (PBE) for ThU2Si2Ir7 after structural relaxation.

Results
Space-group type ... C2/m (12)
Energy ... -9.20 eV/atom
Total magnetic moment ... 1.73 μB/cell
Crystal system ... monoclinic

Structure (POSCAR):
```
ThU2Si2Ir7
1.0
4.090 0.043 -0.195
0.048 4.090 -0.195
1.365 1.364 12.704
Ir Si Th U
7 2 1 2
Cartesian
3.598 3.594 6.725
1.285 3.301 10.397
1.906 1.904 5.588
3.303 1.281 10.397
4.219 2.196 1.916
2.201 4.216 1.916
2.069 2.067 -0.195
3.265 3.261 9.058
2.239 2.236 3.256
0.000 0.000 0.000
1.105 1.104 8.243
4.398 4.393 4.071
```

=====

No. 5
Density functional theory data (PBE) for ThVSi2Ir after structural relaxation.

Results
Space-group type ... I-4m2 (119)
Energy ... -8.08 eV/atom
Total magnetic moment ... 2.22 μB/cell
Crystal system ... tetragonal

Structure (POSCAR):
```
ThVSi2Ir
1.0
4.170 0.000 0.000
0.000 4.170 0.000
-2.085 -2.085 5.092
Th Ir Si V
1 1 2 1
Cartesian
0.000 0.000 0.000
0.000 2.085 2.546
2.085 2.085 1.238
0.000 0.000 3.855
2.085 0.000 2.546
```

=====

No. 6
Density functional theory data (PBE) for Th2VSi3Ir4 after structural relaxation.

Results
Space-group type ... P-4m2 (115)
Energy ... -8.57 eV/atom
Total magnetic moment ... 0.00 μB/cell
Crystal system ... tetragonal

Structure (POSCAR):
```
Th2VSi3Ir4
1.0
4.176 0.000 0.000
0.000 4.176 0.000
0.000 0.000 10.133
Ir V Si Th
4 1 3 2
Cartesian
2.088 0.000 6.405
2.088 2.088 0.000
0.000 2.088 3.728
0.000 0.000 0.000
2.088 2.088 5.067
0.000 0.000 5.067
2.088 0.000 8.827
0.000 2.088 1.307
0.000 2.088 7.558
2.088 0.000 2.575
```

=====

No. 7
Density functional theory data (PBE) for ThZnSi2Ir5 after structural relaxation.

Results
Space-group type ... P4/mmm (123)
Energy ... -7.43 eV/atom
Total magnetic moment ... 0.00 μB/cell
Crystal system ... tetragonal

Structure (POSCAR):
```
ThZnSi2Ir5
1.0
-0.083 0.774 -3.980
-3.631 -1.786 -0.272
-4.504 8.877 1.819
Ir Th Si Zn
5 1 2 1
Cartesian
-3.853 7.900 -0.450
-2.507 0.470 0.143
-0.733 1.750 -1.711
-4.109 3.932 -1.217
-5.627 6.620 1.404
-2.252 4.438 0.910
-5.154 5.992 -0.794
-3.064 1.872 -1.639
0.000 0.000 0.000
```

=====

No. 8
Density functional theory data (PBE) for Th2ZnSi4Ir3 after structural relaxation.

Results
Space-group type ... P-4m2 (115)
Energy ... -7.37 eV/atom
Total magnetic moment ... 0.00 μB/cell
Crystal system ... tetragonal

Structure (POSCAR):
```
Th2ZnSi4Ir3
1.0
-3.744 1.890 -0.366
-1.834 -3.746 -0.574
-1.386 -0.835 9.878
Si Zn Ir Th
4 1 3 2
Cartesian
0.000 0.000 0.000
-2.789 -0.928 -0.470
-2.755 0.413 6.109
-1.420 -2.176 3.299
-3.482 -1.346 4.469
-1.087 -1.975 0.922
-0.693 -0.418 4.939
-3.089 0.212 8.486
-2.214 0.739 2.250
-1.962 -2.502 7.157
```

=====

No. 9
Density functional theory data (PBE) for ThZrSi2Ir5 after structural relaxation.

Results
Space-group type ... P4/mmm (123)
Energy ... -8.50 eV/atom
Total magnetic moment ... 0.00 μB/cell
Crystal system ... tetragonal

Structure (POSCAR):
```
ThZrSi2Ir5
1.0
4.006 0.000 0.000
0.000 4.006 0.000
0.000 0.000 11.061
Ir Si Th Zr
5 2 1 1
Cartesian
0.000 2.003 9.119
0.000 2.003 1.942
2.003 2.003 5.530
2.003 0.000 1.942
2.003 0.000 9.119
2.003 2.003 7.896
2.003 2.003 3.164
0.000 0.000 5.530
0.000 0.000 0.000
```

=====

No. 10
Density functional theory data (PBE) for TiSiIr after structural relaxation.

Results
Space-group type ... Pnma (62)
Energy ... -8.39 eV/atom
Total magnetic moment ... 0.00 μB/cell
Crystal system ... orthorhombic

Structure (POSCAR):
```
TiSiIr
1.0
3.873 0.000 0.000
0.000 6.275 0.000
0.000 0.000 7.244
Ti Ir Si
4 4 4
Cartesian
0.968 0.146 1.301
2.905 2.992 4.922
0.968 3.283 2.321
2.905 6.129 5.943
2.905 2.155 0.444
2.905 5.292 3.178
0.968 4.120 6.800
0.968 0.983 4.065
0.968 4.841 4.521
2.905 1.434 2.723
0.968 1.703 6.345
2.905 4.572 0.899
```

=====

No. 11
Density functional theory data (PBE) for Ti3SiIr after structural relaxation.

Results
Space-group type ... Pm-3m (221)
Energy above the most stable polymorph in this dataset ... 46 meV per atom
Energy ... -7.22 eV/atom
Total magnetic moment ... 0.00 μB/cell
Crystal system ... cubic

Structure (POSCAR):
```
Ti3SiIr
1.0
-3.959 1.548 1.478
-2.109 -3.347 -2.146
0.361 -2.581 3.670
Ti Ir Si
3 1 1
Cartesian
-1.980 0.774 0.739
0.180 -1.290 1.835
-1.055 -1.673 -1.073
-2.854 -2.190 1.501
0.000 0.000 0.000
```

=====

No. 12
Density functional theory data (PBE) for TiSiIr2 after structural relaxation.

Results
Space-group type ... P4/mmm (123)
Energy ... -8.47 eV/atom
Total magnetic moment ... 0.00 μB/cell
Crystal system ... tetragonal

Structure (POSCAR):
```
TiSiIr2
1.0
3.565 0.000 0.000
0.000 3.994 0.000
0.000 0.000 3.994
Ir Ti Si
2 1 1
Cartesian
0.000 1.997 0.000
0.000 0.000 1.997
1.782 0.000 0.000
1.782 1.997 1.997
```

=====

No. 13
Density functional theory data (PBE) for TiSiIr after structural relaxation.

Results
Space-group type ... I4mm (107)
Energy ... -8.10 eV/atom
Total magnetic moment ... 0.00 μB/cell
Crystal system ... tetragonal

Structure (POSCAR):
```
TiSiIr
1.0
2.872 0.000 0.000
0.000 2.872 0.000
-1.436 -1.436 5.176
Si Ir Ti
1 1 1
Cartesian
0.000 0.000 3.036
1.436 1.436 4.491
1.436 1.436 1.271
```

=====

No. 14
Density functional theory data (PBE) for Ti3SiIr after structural relaxation.

Results
Space-group type ... Pm-3m (221)
Energy above the most stable polymorph in this dataset ... 0 meV per atom
Energy ... -7.26 eV/atom
Total magnetic moment ... 0.00 μB/cell
Crystal system ... cubic

Structure (POSCAR):
```
Ti3SiIr
1.0
-2.318 -1.605 -3.771
4.094 -0.704 -2.216
0.191 -4.370 1.742
Ir Ti Si
1 3 1
Cartesian
0.000 0.000 0.000
0.096 -2.185 0.871
-1.159 -0.802 -1.886
2.047 -0.352 -1.108
0.984 -3.340 -2.123
```

=====

No. 15
Density functional theory data (PBE) for Ti4SiIr after structural relaxation.

Results
Space-group type ... P4/mmm (123)
Energy ... -8.00 eV/atom
Total magnetic moment ... 0.00 μB/cell
Crystal system ... tetragonal

Structure (POSCAR):
```
Ti4SiIr
1.0
-0.643 5.929 -0.606
-3.520 0.114 4.851
4.855 0.884 3.502
Ir Ti Si
2 8 2
Cartesian
0.667 0.499 4.176
2.106 3.407 1.448
2.588 2.171 3.680
-1.576 1.791 4.371
0.828 2.229 6.105
-0.136 4.698 1.642
-1.896 4.756 4.067
2.268 5.136 3.376
0.185 1.734 1.946
0.507 5.194 5.801
-2.081 3.022 2.122
0.000 0.000 0.000
```

=====

No. 16
Density functional theory data (PBE) for TiSiIr2 after structural relaxation.

Results
Space-group type ... I-42d (122)
Energy ... -7.76 eV/atom
Total magnetic moment ... 0.00 μB/cell
Crystal system ... tetragonal

Structure (POSCAR):
```
TiSiIr2
1.0
5.556 0.000 0.000
0.000 5.556 0.000
2.778 2.778 5.364
Si Ir Ti
2 4 2
Cartesian
2.778 2.778 0.000
2.778 5.556 2.682
4.167 4.287 4.023
1.510 4.167 1.341
4.046 1.389 1.341
6.945 6.824 4.023
5.556 2.778 2.682
0.000 0.000 0.000
```

=====

No. 17
Density functional theory data (PBE) for TiSi3Ir after structural relaxation.

Results
Space-group type ... Pm-3m (221)
Energy above the most stable polymorph in this dataset ... 0 meV per atom
Energy ... -5.94 eV/atom
Total magnetic moment ... 1.86 μB/cell
Crystal system ... cubic

Structure (POSCAR):
```
TiSi3Ir
1.0
-0.817 0.285 4.556
-1.630 -4.341 -0.020
4.264 -1.605 0.865
Ti Ir Si
1 1 3
Cartesian
0.908 -2.830 2.700
0.000 0.000 0.000
-0.409 0.143 2.278
-0.815 -2.171 -0.010
2.132 -0.802 0.433
```

=====

No. 18
Density functional theory data (PBE) for Ti2Si4Ir after structural relaxation.

Results
Space-group type ... I4/mmm (139)
Energy ... -6.36 eV/atom
Total magnetic moment ... 0.00 μB/cell
Crystal system ... tetragonal

Structure (POSCAR):
```
Ti2Si4Ir
1.0
4.645 0.000 0.000
0.000 4.645 0.000
2.322 2.322 6.218
Si Ir Ti
4 1 2
Cartesian
4.645 4.645 2.409
2.322 0.000 0.000
0.000 2.322 0.000
2.322 2.322 3.809
0.000 0.000 0.000
4.645 4.645 4.921
2.322 2.322 1.297
```

=====

No. 19
Density functional theory data (PBE) for TiSi3Ir after structural relaxation.

Results
Space-group type ... Pm-3m (221)
Energy above the most stable polymorph in this dataset ... 563 meV per atom
Energy ... -5.38 eV/atom
Total magnetic moment ... 0.00 μB/cell
Crystal system ... cubic

Structure (POSCAR):
```
TiSi3Ir
1.0
-0.374 -4.297 1.620
0.159 -1.637 -4.304
4.589 -0.294 0.282
Si Ti Ir
3 1 1
Cartesian
-0.187 -2.148 0.810
2.295 -0.147 0.141
0.080 -0.818 -2.152
0.000 0.000 0.000
2.187 -3.114 -1.201
```

=====

No. 20
Density functional theory data (PBE) for Ti2Si2Ir after structural relaxation.

Results
Space-group type ... Immm (71)
Energy ... -7.91 eV/atom
Total magnetic moment ... 0.00 μB/cell
Crystal system ... orthorhombic

Structure (POSCAR):
```
Ti2Si2Ir
1.0
3.771 0.000 0.000
1.886 4.624 0.116
1.886 1.639 4.325
Si Ir Ti
2 1 2
Cartesian
3.771 2.466 3.159
3.771 3.797 1.282
0.000 0.000 0.000
1.886 1.860 1.319
5.657 4.403 3.122
```

=====

No. 21
Density functional theory data (PBE) for TiSiIr2 after structural relaxation.

Results
Space-group type ... P4/mmm (123)
Energy ... -8.54 eV/atom
Total magnetic moment ... 0.58 μB/cell
Crystal system ... tetragonal

Structure (POSCAR):
```
TiSiIr2
1.0
-2.605 -1.027 0.603
1.178 -2.006 1.672
-0.426 4.256 5.405
Ti Ir Si
1 2 1
Cartesian
-0.926 0.611 3.840
-0.092 0.917 1.165
-0.334 3.339 4.240
-0.714 -1.516 1.138
```

=====

No. 22
Density functional theory data (PBE) for Ti2Si2Ir after structural relaxation.

Results
Space-group type ... P4/mbm (127)
Energy ... -8.01 eV/atom
Total magnetic moment ... 0.00 μB/cell
Crystal system ... tetragonal

Structure (POSCAR):
```
Ti2Si2Ir
1.0
6.141 0.000 0.000
0.000 6.141 0.000
0.000 0.000 3.914
Ir Ti Si
2 4 4
Cartesian
3.071 3.071 0.000
0.000 0.000 0.000
1.007 4.077 1.957
5.134 2.064 1.957
2.064 1.007 1.957
4.077 5.134 1.957
3.910 0.840 0.000
5.302 3.910 0.000
0.840 2.231 0.000
2.231 5.302 0.000
```

=====

No. 23
Density functional theory data (PBE) for TiSi2Ir2 after structural relaxation.

Results
Space-group type ... P4/mbm (127)
Energy ... -7.91 eV/atom
Total magnetic moment ... 0.00 μB/cell
Crystal system ... tetragonal

Structure (POSCAR):
```
TiSi2Ir2
1.0
-1.890 -4.208 5.477
3.799 -5.376 -2.819
2.219 0.831 1.405
Si Ir Ti
4 4 2
Cartesian
-0.660 -3.535 3.135
0.858 -7.071 2.829
1.050 -2.514 -0.171
2.569 -6.049 -0.477
3.292 -3.696 -0.313
1.009 -1.862 2.209
3.118 -6.891 1.854
0.835 -5.057 4.375
0.954 -4.792 1.329
0.000 0.000 0.000
```

=====

No. 24
Density functional theory data (PBE) for TiSiIr after structural relaxation.

Results
Space-group type ... P-6m2 (187)
Energy ... -8.27 eV/atom
Total magnetic moment ... 0.00 μB/cell
Crystal system ... hexagonal

Structure (POSCAR):
```
TiSiIr
1.0
-0.979 0.270 2.685
-3.116 -2.662 -0.869
3.644 -1.450 1.474
Ir Si Ti
1 1 1
Cartesian
-0.163 0.045 0.447
1.227 -1.809 1.142
-1.516 -2.078 1.703
```

=====

| no. | raw formation energy (eV/atom) |
| --- | --- |
| 1 | -0.649 |
| 2 | -0.865 |
| 3 | -0.901 |
| 4 | -0.628 |
| 5 | -0.836 |
| 6 | -1.006 |
| 7 | -0.333 |
| 8 | -0.929 |
| 9 | -0.594 |
| 10 | -0.997 |
| 11 | 0.378 |
| 12 | -0.713 |
| 13 | -0.707 |
| 14 | 0.332 |
| 15 | -0.355 |
| 16 | 0.002 |
| 17 | 0.661 |
| 18 | 0.263 |
| 19 | 1.224 |
| 20 | -0.814 |
| 21 | -0.776 |
| 22 | -0.907 |
| 23 | -0.619 |
| 24 | -0.878 |